DFT (GGA-PBE) results for an optimized crystal structure of RhPb2Se.

## Properties
The value obtained for the magnetic moment is 0.00 μB per formula unit. As for the density of states at the Fermi level: 3.0 states/eV/cell. Its crystal system is tetragonal. Its uncorrected formation energy is 0.18 eV/atom. As for the electronic total energy: -4.385 eV per atom.

Cell and atoms, written as POSCAR:
```
RhPb2Se
1.0
-2.085 2.085 5.539
2.085 -2.085 5.539
2.085 2.085 -5.539
Rh Pb Se
1 2 1
Direct
0.000 0.000 0.000
0.500 0.500 0.000
0.750 0.250 0.500
0.250 0.750 0.500
```

DFT (GGA-PBE) results for an optimized crystal structure of CdTcSb4.

## Properties
The value obtained for the magnetic moment is 3.99 μB per formula unit. As for the density of states at the Fermi level: 5.1 states/eV/cell. Its crystal system is cubic. Its uncorrected formation energy is 0.86 eV/atom. As for the electronic total energy: -3.771 eV per atom.

Cell and atoms, written as POSCAR:
```
CdTcSb4
1.0
0.000 4.366 4.366
4.366 0.000 4.366
4.366 4.366 0.000
Cd Tc Sb
1 1 4
Direct
0.000 0.000 0.000
0.250 0.250 0.250
0.125 0.625 0.625
0.625 0.125 0.625
0.625 0.625 0.125
0.625 0.625 0.625
```

DFT (GGA-PBE) results for an optimized crystal structure of TbPr2Er2.

## Properties
The calculation puts the polymorph energy (0 for the lowest one) at 258 meV per atom. The value obtained for the magnetic moment is 0.00 μB per formula unit. As for the density of states at the Fermi level: 13.5 states/eV/cell. Its crystal system is monoclinic. The energy of formation is 287 meV per atom. As for the electronic total energy: -4.376 eV per atom.

Cell and atoms, written as POSCAR:
```
TbPr2Er2
1.0
4.667 -6.691 0.000
4.667 6.691 0.000
-2.303 0.000 5.642
Tb Pr Er
2 4 4
Direct
0.063 0.937 0.750
0.937 0.063 0.250
0.237 0.393 0.131
0.393 0.237 0.631
0.607 0.763 0.369
0.763 0.607 0.869
0.195 0.805 0.250
0.329 0.671 0.750
0.671 0.329 0.250
0.805 0.195 0.750
```

DFT (GGA-PBE) results for an optimized crystal structure of PrEr2HgC.

## Properties
The value obtained for the magnetic moment is 0.00 μB per formula unit. As for the density of states at the Fermi level: 6.7 states/eV/cell. Its crystal system is tetragonal. The energy of formation is -359 meV per atom. As for the electronic total energy: -5.045 eV per atom.

Cell and atoms, written as POSCAR:
```
PrEr2HgC
1.0
-3.400 3.400 5.216
3.400 -3.400 5.216
3.400 3.400 -5.216
Pr Er Hg C
2 4 2 2
Direct
0.250 0.250 0.000
0.750 0.750 0.000
0.193 0.693 0.886
0.307 0.193 0.500
0.693 0.807 0.500
0.807 0.307 0.114
0.250 0.750 0.500
0.750 0.250 0.500
0.000 0.000 0.000
0.500 0.500 0.000
```

DFT (GGA-PBE) results for an optimized crystal structure of GeTeS2N.

## Properties
The calculation puts the polymorph energy (0 for the lowest one) at 201 meV per atom. The value obtained for the magnetic moment is 0.00 μB per formula unit. As for the density of states at the Fermi level: 1.0 states/eV/cell. Its crystal system is tetragonal. Its uncorrected formation energy is 0.90 eV/atom. As for the electronic total energy: -3.965 eV per atom.

Cell and atoms, written as POSCAR:
```
GeTeS2N
1.0
5.142 0.000 0.000
0.000 5.142 0.000
0.000 0.000 3.925
Ge Te S N
1 1 2 1
Direct
0.000 0.000 0.000
0.500 0.500 0.500
0.000 0.500 0.500
0.500 0.000 0.500
0.500 0.500 0.000
```

DFT (GGA-PBE) results for an optimized crystal structure of CeCuS.

## Properties
The value obtained for the magnetic moment is 1.14 μB per formula unit. As for the density of states at the Fermi level: 14.2 states/eV/cell. Its crystal system is tetragonal. Its uncorrected formation energy is -0.83 eV/atom. As for the electronic total energy: -5.554 eV per atom.

Cell and atoms, written as POSCAR:
```
CeCuS
1.0
-1.981 1.981 8.886
1.981 -1.981 8.886
1.981 1.981 -8.886
Ce Cu S
2 2 2
Direct
0.153 0.153 0.000
0.847 0.847 0.000
0.438 0.438 0.000
0.562 0.562 0.000
0.314 0.314 0.000
0.686 0.686 0.000
```

DFT (GGA-PBE) results for an optimized crystal structure of CoPW2.

## Properties
The value obtained for the magnetic moment is 1.06 μB per formula unit. As for the density of states at the Fermi level: 5.3 states/eV/cell. Its crystal system is trigonal. The energy of formation is 284 meV per atom. As for the electronic total energy: -9.322 eV per atom.

Cell and atoms, written as POSCAR:
```
CoPW2
1.0
1.423 0.821 8.038
-1.423 0.821 8.038
0.000 -1.643 8.038
Co P W
1 1 2
Direct
0.000 0.000 0.000
0.500 0.500 0.500
0.247 0.247 0.247
0.753 0.753 0.753
```

DFT (GGA-PBE) results for an optimized crystal structure of Sn3PdF.

## Properties
The calculation puts the polymorph energy (0 for the lowest one) at 0 meV per atom. The value obtained for the magnetic moment is 0.00 μB per formula unit. As for the density of states at the Fermi level: 2.9 states/eV/cell. Its crystal system is cubic. Its uncorrected formation energy is -0.27 eV/atom. As for the electronic total energy: -4.080 eV per atom.

Cell and atoms, written as POSCAR:
```
Sn3PdF
1.0
4.849 0.000 0.000
0.000 4.849 0.000
0.000 0.000 4.849
Sn Pd F
3 1 1
Direct
0.000 0.000 0.500
0.000 0.500 0.000
0.500 0.000 0.000
0.500 0.500 0.500
0.000 0.000 0.000
```